# 1
Crystalline TbPm2Ag3 at its relaxed geometry. Source: Alexandria via LeMat-Bulk, functional GGA-PBE.

Results
- formation enthalpy at 0 K (eV per atom) = -0.29
- space-group type = No. 123
- DOS at the Fermi energy (states/eV/cell) = 3.50

Lattice parameters (Å, degrees): 3.6853 3.6853 11.2138 90.00 90.00 90.00
Last column: nearest neighbours and their distance in Å.
Fractional positions:
1 Tb 0.5000 0.5000 0.5000  8 Ag 3.15
2 Pm 0.5000 0.5000 0.8306  8 Ag 3.22-3.25
3 Pm 0.5000 0.5000 0.1694  8 Ag 3.22-3.25
4 Ag 0.0000 0.0000 0.0000  8 Pm 3.22
5 Ag 0.0000 0.0000 0.6580  4 Tb 3.15, 4 Pm 3.25
6 Ag 0.0000 0.0000 0.3420  4 Tb 3.15, 4 Pm 3.25


# 2
Crystalline Li2DyCu10 at its relaxed geometry. Source: Alexandria via LeMat-Bulk, functional GGA-PBE.

Results
- formation enthalpy at 0 K (eV per atom) = -0.06
- space-group type = No. 69
- DOS at the Fermi energy (states/eV/cell) = 6.01

Lattice parameters (Å, degrees): 4.7574 6.4285 6.5894 82.32 68.84 68.28
Last column: nearest neighbours and their distance in Å.
Fractional positions:
1 Li 0.0000 0.0000 0.5000  2 Li 2.38, 8 Cu 2.45-2.64
2 Li 0.5000 0.0000 0.5000  2 Li 2.38, 8 Cu 2.45-2.64
3 Dy 0.0000 0.0000 0.0000  16 Cu 3.04-3.21, 4 Li 3.29
4 Cu 0.9938 0.3636 0.6488  6 Cu 2.45-2.65, 2 Li 2.64
5 Cu 0.0062 0.6364 0.3512  6 Cu 2.45-2.65, 2 Li 2.64
6 Cu 0.6426 0.3636 0.3512  6 Cu 2.45-2.65, 2 Li 2.64
7 Cu 0.3574 0.6364 0.6488  6 Cu 2.45-2.65, 2 Li 2.64
8 Cu 0.5000 0.5000 0.0000  10 Cu 2.38-2.60
9 Cu 0.0000 0.5000 0.0000  10 Cu 2.38-2.60
10 Cu 0.4971 0.7815 0.2243  2 Li 2.45, 6 Cu 2.48-2.65
11 Cu 0.5029 0.2185 0.7757  2 Li 2.45, 6 Cu 2.48-2.65
12 Cu 0.7214 0.7815 0.7757  2 Li 2.45, 6 Cu 2.48-2.65
13 Cu 0.2786 0.2185 0.2243  2 Li 2.45, 6 Cu 2.48-2.65


Number 1 is which compound? TbPm2Ag3